Density functional theory data (PBE with a Hubbard U) for a relaxed structure of K2MoPbO6.

The value obtained for the electronic total energy is -228.39 eV for the cell shown. Its crystal system is cubic.

a b c (Å): 8.271 8.271 8.271
angles (deg): 90.00 90.00 90.00
Space group Fm-3m (No. 225)
Asymmetric unit:
K 0.250 0.250 0.250 (multiplicity 8)
Mo 0.000 0.000 0.000 (multiplicity 4)
Pb 0.000 0.000 0.500 (multiplicity 4)
O 0.000 0.000 0.235 (multiplicity 24)